The following is a DFT calculation (GGA-PBEsol) of crystalline SrH4N2 at its relaxed geometry.

Unit cell a=6.6629 b=6.6629 c=6.6629 alpha=131.97 beta=131.97 gamma=70.28
Last column: nearest neighbours and their distance in Å.
Sites, in units of the cell vectors:
1 Sr 0.3750 0.6250 0.7500  6 N 2.60-2.71, 8 H 2.88
2 Sr 0.6250 0.3750 0.2500  6 N 2.60-2.71, 8 H 2.88
3 H 0.0783 0.1782 0.5999  1 N 1.03
4 H 0.0783 0.4784 0.9001  1 N 1.03
5 H 0.1782 0.0783 0.0999  1 N 1.03
6 H 0.4784 0.0783 0.4001  1 N 1.03
7 H 0.5216 0.9217 0.5999  1 N 1.03
8 H 0.8218 0.9217 0.9001  1 N 1.03
9 H 0.9217 0.5216 0.0999  1 N 1.03
10 H 0.9217 0.8218 0.4001  1 N 1.03
11 N 0.1368 0.3868 0.7500  2 H 1.03
12 N 0.3868 0.1368 0.2500  2 H 1.03
13 N 0.6132 0.8632 0.7500  2 H 1.03
14 N 0.8632 0.6132 0.2500  2 H 1.03

Properties
The calculation puts the total magnetization at 0.00 Bohr magnetons per cell. The value obtained for the uncorrected energy is -5.2086 eV/atom. Its symmetry is I4_1/amd (141).

The following is a DFT calculation (GGA-PBEsol) of crystalline SrHN2 at its relaxed geometry.

Unit cell a=6.2979 b=6.2979 c=6.2979 alpha=144.05 beta=144.05 gamma=51.75
Last column: nearest neighbours and their distance in Å.
Sites, in units of the cell vectors:
1 Sr 0.3750 0.6250 0.7500  8 N 2.59, 4 H 2.75
2 Sr 0.6250 0.3750 0.2500  8 N 2.59, 4 H 2.75
3 H 0.1250 0.8750 0.2500  4 N 1.72
4 H 0.8750 0.1250 0.7500  4 N 1.72
5 N 0.0000 0.0000 0.0000  2 H 1.72
6 N 0.0000 0.0000 0.5000  2 H 1.72
7 N 0.0000 0.5000 0.0000  2 H 1.72
8 N 0.5000 0.0000 0.5000  2 H 1.72

Properties
The calculation puts the total magnetization at 0.00 Bohr magnetons per cell. The value obtained for the uncorrected energy is -4.9724 eV/atom. Its symmetry is I4_1/amd (141).

The following is a DFT calculation (GGA-PBEsol) of crystalline SrHN3 at its relaxed geometry.

Unit cell a=5.1520 b=5.1520 c=5.1520 alpha=90.00 beta=90.00 gamma=90.00
Last column: nearest neighbours and their distance in Å.
Sites, in units of the cell vectors:
1 Sr 0.0000 0.0000 0.0000  6 N 2.58
2 H 0.5000 0.5000 0.5000  12 N 3.64
3 N 0.0000 0.0000 0.5000  2 Sr 2.58
4 N 0.0000 0.5000 0.0000  2 Sr 2.58
5 N 0.5000 0.0000 0.0000  2 Sr 2.58

Properties
The calculation puts the total magnetization at 8.00 Bohr magnetons per cell. The value obtained for the uncorrected energy is -3.5627 eV/atom. Its symmetry is Pm-3m (221).

The following is a DFT calculation (GGA-PBEsol) of crystalline Sr2HN at its relaxed geometry.

Unit cell a=6.6186 b=6.6186 c=6.6186 alpha=33.10 beta=33.10 gamma=33.10
Last column: nearest neighbours and their distance in Å.
Sites, in units of the cell vectors:
1 Sr 0.2391 0.2391 0.2391  3 N 2.57, 3 H 2.80
2 Sr 0.7609 0.7609 0.7609  3 N 2.57, 3 H 2.80
3 H 0.0000 0.0000 0.0000  6 Sr 2.80
4 N 0.5000 0.5000 0.5000  6 Sr 2.57

Properties
The calculation puts the total magnetization at 0.05 Bohr magnetons per cell. The value obtained for the uncorrected energy is -4.5704 eV/atom. Its symmetry is R-3m (166).

The following is a DFT calculation (GGA-PBEsol) of crystalline TiTe2HN at its relaxed geometry.

Unit cell a=5.0230 b=5.0230 c=2.9549 alpha=90.00 beta=90.00 gamma=90.00
Last column: nearest neighbours and their distance in Å.
Sites, in units of the cell vectors:
1 Ti 0.0000 0.0000 0.0000  8 Te 2.91, 2 Ti 2.95
2 Te 0.0000 0.5000 0.5000  2 N 2.51
3 Te 0.5000 0.0000 0.5000  2 N 2.51
4 H 0.5000 0.5000 0.0000  2 N 1.48
5 N 0.5000 0.5000 0.5000  2 H 1.48

Properties
The calculation puts the total magnetization at 1.24 Bohr magnetons per cell. The value obtained for the uncorrected energy is -5.0951 eV/atom. Its symmetry is P4/mmm (123).

The following is a DFT calculation (GGA-PBEsol) of crystalline Ti3HN at its relaxed geometry.

Unit cell a=4.0104 b=4.0104 c=4.0104 alpha=90.00 beta=90.00 gamma=90.00
Last column: nearest neighbours and their distance in Å.
Sites, in units of the cell vectors:
1 Ti 0.0000 0.0000 0.5000  2 N 2.01
2 Ti 0.0000 0.5000 0.0000  2 N 2.01
3 Ti 0.5000 0.0000 0.0000  2 N 2.01
4 H 0.5000 0.5000 0.5000  12 Ti 2.84
5 N 0.0000 0.0000 0.0000  6 Ti 2.01

Properties
The calculation puts the total magnetization at 0.00 Bohr magnetons per cell. The value obtained for the uncorrected energy is -7.6310 eV/atom. Its symmetry is Pm-3m (221).

The following is a DFT calculation (GGA-PBEsol) of crystalline TiHN2 at its relaxed geometry.

Unit cell a=5.5720 b=5.5720 c=5.5720 alpha=139.28 beta=139.28 gamma=58.94
Last column: nearest neighbours and their distance in Å.
Sites, in units of the cell vectors:
1 Ti 0.0000 0.0000 0.0000  4 N 1.91
2 Ti 0.7500 0.2500 0.5000  4 N 1.91
3 H 0.2500 0.7500 0.5000  4 N 1.76
4 H 0.5000 0.5000 0.0000  4 N 1.76
5 N 0.1624 0.6250 0.0374  2 H 1.76, 2 Ti 1.91
6 N 0.3750 0.4124 0.5374  2 H 1.76, 2 Ti 1.91
7 N 0.5876 0.1250 0.9626  2 H 1.76, 2 Ti 1.91
8 N 0.8750 0.8376 0.4626  2 H 1.76, 2 Ti 1.91

Properties
The calculation puts the total magnetization at 1.75 Bohr magnetons per cell. The value obtained for the uncorrected energy is -6.9828 eV/atom. Its symmetry is I-42d (122).

The following is a DFT calculation (GGA-PBEsol) of crystalline TiHN2 at its relaxed geometry.

Unit cell a=3.4770 b=3.4770 c=3.4770 alpha=60.00 beta=60.00 gamma=60.00
Last column: nearest neighbours and their distance in Å.
Sites, in units of the cell vectors:
1 Ti 0.0000 0.0000 0.0000  8 N 2.13
2 H 0.5000 0.5000 0.5000  8 N 2.13
3 N 0.2500 0.2500 0.2500  4 H 2.13, 4 Ti 2.13
4 N 0.7500 0.7500 0.7500  4 H 2.13, 4 Ti 2.13

Properties
The calculation puts the total magnetization at 0.00 Bohr magnetons per cell. The value obtained for the uncorrected energy is -6.8304 eV/atom. Its symmetry is Fm-3m (225).

The following is a DFT calculation (GGA-PBEsol) of crystalline YTiH2N at its relaxed geometry.

Unit cell a=3.5131 b=3.5131 c=6.3273 alpha=90.00 beta=90.00 gamma=90.00
Last column: nearest neighbours and their distance in Å.
Sites, in units of the cell vectors:
1 Y 0.0000 0.0000 0.0000  4 H 1.76
2 Ti 0.0000 0.0000 0.5000  4 N 2.48
3 H 0.0000 0.5000 0.0000  2 Y 1.76
4 H 0.5000 0.0000 0.0000  2 Y 1.76
5 N 0.5000 0.5000 0.5000  4 Ti 2.48

Properties
The calculation puts the total magnetization at 0.00 Bohr magnetons per cell. The value obtained for the uncorrected energy is -5.4129 eV/atom. Its symmetry is P4/mmm (123).

The following is a DFT calculation (GGA-PBEsol) of crystalline TlHN2 at its relaxed geometry.

Unit cell a=5.9867 b=5.9867 c=5.9867 alpha=29.40 beta=29.40 gamma=29.40
Last column: nearest neighbours and their distance in Å.
Sites, in units of the cell vectors:
1 Tl 0.0000 0.0000 0.0000  2 N 2.59
2 H 0.5000 0.5000 0.5000  6 N 1.78
3 N 0.1509 0.1509 0.1509  3 H 1.78, 3 N 1.84
4 N 0.8491 0.8491 0.8491  3 H 1.78, 3 N 1.84

Properties
The calculation puts the total magnetization at 0.00 Bohr magnetons per cell. The value obtained for the uncorrected energy is -4.0166 eV/atom. Its symmetry is R-3m (166).

The following is a DFT calculation (GGA-PBEsol) of crystalline Tl2HN2 at its relaxed geometry.

Unit cell a=6.0762 b=6.0762 c=6.0762 alpha=144.33 beta=144.33 gamma=51.33
Last column: nearest neighbours and their distance in Å.
Sites, in units of the cell vectors:
1 Tl 0.1258 0.1258 0.0000  4 N 2.30
2 Tl 0.8742 0.8742 0.0000  4 N 2.30
3 H 0.5000 0.5000 0.0000  8 Tl 2.97, 8 N 3.31
4 N 0.2500 0.7500 0.5000  4 Tl 2.30
5 N 0.7500 0.2500 0.5000  4 Tl 2.30

Properties
The calculation puts the total magnetization at 0.00 Bohr magnetons per cell. The value obtained for the uncorrected energy is -3.6448 eV/atom. Its symmetry is I4/mmm (139).

The following is a DFT calculation (GGA-PBEsol) of crystalline ZrTl2HN at its relaxed geometry.

Unit cell a=5.8432 b=5.8432 c=4.0173 alpha=90.00 beta=90.00 gamma=90.00
Last column: nearest neighbours and their distance in Å.
Sites, in units of the cell vectors:
1 Zr 0.0000 0.0000 0.0000  2 N 2.01
2 Tl 0.0000 0.5000 0.0000  2 Zr 2.92
3 Tl 0.5000 0.0000 0.0000  2 Zr 2.92
4 H 0.5000 0.5000 0.5000  8 Tl 3.55
5 N 0.0000 0.0000 0.5000  2 Zr 2.01

Properties
The calculation puts the total magnetization at 0.16 Bohr magnetons per cell. The value obtained for the uncorrected energy is -4.5781 eV/atom. Its symmetry is P4/mmm (123).

The following is a DFT calculation (GGA-PBEsol) of crystalline HWN3 at its relaxed geometry.

Unit cell a=3.9458 b=3.9458 c=3.9458 alpha=90.00 beta=90.00 gamma=90.00
Last column: nearest neighbours and their distance in Å.
Sites, in units of the cell vectors:
1 H 0.0000 0.0000 0.0000  12 N 2.79
2 W 0.5000 0.5000 0.5000  6 N 1.97
3 N 0.0000 0.5000 0.5000  2 W 1.97
4 N 0.5000 0.0000 0.5000  2 W 1.97
5 N 0.5000 0.5000 0.0000  2 W 1.97

Properties
The calculation puts the total magnetization at 2.19 Bohr magnetons per cell. The value obtained for the uncorrected energy is -7.3652 eV/atom. Its symmetry is Pm-3m (221).

The following is a DFT calculation (GGA-PBEsol) of crystalline Zn2HN at its relaxed geometry.

Unit cell a=5.7041 b=5.7041 c=5.7041 alpha=135.57 beta=135.57 gamma=64.65
Last column: nearest neighbours and their distance in Å.
Sites, in units of the cell vectors:
1 Zn 0.1119 0.6250 0.9869  2 N 1.91, 2 H 1.98
2 Zn 0.3750 0.3619 0.4869  2 N 1.91, 2 H 1.98
3 Zn 0.6381 0.1250 0.0131  2 N 1.91, 2 H 1.98
4 Zn 0.8750 0.8881 0.5131  2 N 1.91, 2 H 1.98
5 H 0.2500 0.7500 0.5000  4 Zn 1.98
6 H 0.5000 0.5000 0.0000  4 Zn 1.98
7 N 0.0000 0.0000 0.0000  4 Zn 1.91
8 N 0.7500 0.2500 0.5000  4 Zn 1.91

Properties
The calculation puts the total magnetization at 0.00 Bohr magnetons per cell. The value obtained for the uncorrected energy is -3.6250 eV/atom. Its symmetry is I-42d (122).

The following is a DFT calculation (GGA-PBEsol) of crystalline NaH at its relaxed geometry.

Unit cell a=3.3641 b=3.3641 c=3.3641 alpha=60.00 beta=60.00 gamma=60.00
Last column: nearest neighbours and their distance in Å.
Sites, in units of the cell vectors:
1 Na 0.0000 0.0000 0.0000  6 H 2.38
2 H 0.5000 0.5000 0.5000  6 Na 2.38

Properties
The calculation puts the total magnetization at 0.00 Bohr magnetons per cell. The value obtained for the uncorrected energy is -2.5422 eV/atom. Its symmetry is Fm-3m (225).

The following is a DFT calculation (GGA-PBEsol) of crystalline NaNiH2 at its relaxed geometry.

Unit cell a=3.6687 b=3.6687 c=3.6687 alpha=60.00 beta=60.00 gamma=60.00
Last column: nearest neighbours and their distance in Å.
Sites, in units of the cell vectors:
1 Na 0.0000 0.0000 0.0000  8 H 2.25
2 Ni 0.5000 0.5000 0.5000  8 H 2.25
3 H 0.2500 0.2500 0.2500  4 Na 2.25, 4 Ni 2.25
4 H 0.7500 0.7500 0.7500  4 Ni 2.25, 4 Na 2.25

Properties
The calculation puts the total magnetization at 0.00 Bohr magnetons per cell. The value obtained for the uncorrected energy is -2.9307 eV/atom. Its symmetry is Fm-3m (225).

The following is a DFT calculation (GGA-PBEsol) of crystalline NaNiP2HO7 at its relaxed geometry.

Unit cell a=6.4318 b=6.4954 c=6.5474 alpha=67.09 beta=84.10 gamma=88.31
Last column: nearest neighbours and their distance in Å.
Sites, in units of the cell vectors:
1 Na 0.1641 0.3100 0.2413  6 O 2.34-2.53, 1 H 2.53
2 Na 0.8359 0.6900 0.7587  6 O 2.34-2.53, 1 H 2.53
3 Ni 0.3583 0.7120 0.3917  6 O 2.00-2.14
4 Ni 0.6417 0.2880 0.6083  6 O 2.00-2.14
5 P 0.1396 0.2599 0.7186  4 O 1.51-1.60
6 P 0.3802 0.8366 0.8656  4 O 1.51-1.60
7 P 0.6198 0.1634 0.1344  4 O 1.51-1.60
8 P 0.8604 0.7401 0.2814  4 O 1.51-1.60
9 H 0.2093 0.5621 0.8027  1 O 1.12
10 H 0.7907 0.4379 0.1973  1 O 1.12
11 O 0.0425 0.7617 0.4012  1 P 1.51
12 O 0.0933 0.3841 0.8749  1 H 1.29
13 O 0.2039 0.0130 0.8761  2 P 1.60
14 O 0.3008 0.7225 0.7159  1 H 1.12
15 O 0.3328 0.3643 0.5494  1 P 1.55
16 O 0.3818 0.6653 0.1020  1 P 1.51
17 O 0.4166 0.0408 0.2470  1 P 1.51
18 O 0.5834 0.9592 0.7530  1 P 1.51
19 O 0.6182 0.3347 0.8980  1 P 1.51
20 O 0.6672 0.6357 0.4506  1 P 1.55
21 O 0.6992 0.2775 0.2841  1 H 1.12
22 O 0.7961 0.9870 0.1239  2 P 1.60
23 O 0.9067 0.6159 0.1251  1 H 1.29
24 O 0.9575 0.2383 0.5988  1 P 1.51

Properties
The calculation puts the total magnetization at 4.01 Bohr magnetons per cell. The value obtained for the uncorrected energy is -6.7631 eV/atom. Its symmetry is P-1 (2).

The following is a DFT calculation (GGA-PBEsol) of crystalline NaNi2H3Se2O10 at its relaxed geometry.

Unit cell a=5.4070 b=5.4070 c=7.4203 alpha=110.37 beta=110.37 gamma=70.14
Last column: nearest neighbours and their distance in Å.
Sites, in units of the cell vectors:
1 Na 0.0000 0.0000 0.0000  6 O 2.40-2.47
2 Ni 0.9999 0.5002 0.4999  6 O 2.00-2.07
3 Ni 0.5002 0.9999 0.4999  6 O 2.00-2.07
4 H 0.0013 0.0013 0.5010  2 O 1.20-1.22
5 H 0.1927 0.1927 0.7302  1 O 1.00
6 H 0.8078 0.8078 0.2704  1 O 1.00
7 Se 0.4148 0.4148 0.2086  4 O 1.64-1.72
8 Se 0.5852 0.5852 0.7914  4 O 1.64-1.72
9 O 0.1516 0.1516 0.5822  1 H 1.00
10 O 0.2452 0.6876 0.7493  1 Se 1.68
11 O 0.2640 0.2640 0.9823  1 Se 1.64, 1 H 1.70
12 O 0.3124 0.7549 0.2506  1 Se 1.68
13 O 0.3179 0.3179 0.3662  1 Se 1.72
14 O 0.6821 0.6821 0.6338  1 Se 1.72
15 O 0.6876 0.2452 0.7493  1 Se 1.68
16 O 0.7359 0.7359 0.0177  1 Se 1.64, 1 H 1.71
17 O 0.7549 0.3124 0.2506  1 Se 1.68
18 O 0.8488 0.8488 0.4183  1 H 1.00

Properties
The calculation puts the total magnetization at 3.96 Bohr magnetons per cell. The value obtained for the uncorrected energy is -5.5580 eV/atom. Its symmetry is Cm (8).

The following is a DFT calculation (GGA-PBEsol) of crystalline NaHO at its relaxed geometry.

Unit cell a=5.6555 b=5.6555 c=3.3611 alpha=90.00 beta=90.00 gamma=144.89
Last column: nearest neighbours and their distance in Å.
Sites, in units of the cell vectors:
1 Na 0.1589 0.8411 0.7500  5 O 2.30-2.42
2 Na 0.8411 0.1589 0.2500  5 O 2.30-2.42
3 H 0.4628 0.5372 0.7500  1 O 0.98
4 H 0.5372 0.4628 0.2500  1 O 0.98
5 O 0.3721 0.6279 0.7500  1 H 0.98
6 O 0.6279 0.3721 0.2500  1 H 0.98

Properties
The calculation puts the total magnetization at 0.00 Bohr magnetons per cell. The value obtained for the uncorrected energy is -4.6342 eV/atom. Its symmetry is Cmcm (63).

The following is a DFT calculation (GGA-PBEsol) of crystalline NaHO at its relaxed geometry.

Unit cell a=5.5022 b=5.5022 c=3.3502 alpha=105.45 beta=105.45 gamma=35.44
Last column: nearest neighbours and their distance in Å.
Sites, in units of the cell vectors:
1 Na 0.0000 0.0000 0.0000  4 H 2.31-2.45, 6 O 2.43-2.50
2 Na 0.2502 0.2502 0.7824  4 H 2.36-2.39, 6 O 2.41-2.50
3 H 0.5219 0.5219 0.4880  1 O 0.99
4 H 0.7717 0.7717 0.3074  1 O 0.99
5 O 0.4245 0.4245 0.4397  1 H 0.99
6 O 0.6737 0.6737 0.2199  1 H 0.99

Properties
The calculation puts the total magnetization at 0.00 Bohr magnetons per cell. The value obtained for the uncorrected energy is -4.5929 eV/atom. Its symmetry is Cm (8).